Here is BeRu2 after structural relaxation from Alexandria via LeMat-Bulk. Energies are from PBE.

Properties
For the total magnetic moment, the calculation gives 0.000 μB/f.u. For the density of states at the Fermi level, the calculation gives 1.89 states/eV/f.u. The energy relative to the elements comes out at 0.298 eV per atom.

Unit cell a=4.220 b=4.220 c=2.573 alpha=90.00 beta=90.00 gamma=120.00
Fractional positions:
Be1 0.000 0.000 0.000
Ru1 0.333 0.667 0.500
Ru2 0.667 0.333 0.500